The following is a DFT calculation (GGA-PBEsol) of crystalline MgPb2Br at its relaxed geometry.

Output
**Fermi-level density of states**: 1.79 states/eV/cell
**Relative energy among the computed polymorphs**: 166 meV/atom
**Size of the total moment**: 0.0 μB/cell

Lattice parameters (Å, degrees): 3.4152 5.5944 5.5944 90.00 90.00 90.00
Last column: nearest neighbours and their distance in Å.
Fractional positions:
Pb  0.0000  0.5000  0.0000  4 Br 3.28, 4 Mg 3.28, 2 Pb 3.42
Pb  0.0000  0.0000  0.5000  4 Br 3.28, 4 Mg 3.28, 2 Pb 3.42
Mg  0.5000  0.0000  0.0000  8 Pb 3.28, 2 Mg 3.42
Br  0.5000  0.5000  0.5000  8 Pb 3.28, 2 Br 3.42